# 1
The following is a DFT calculation (PBE-GGA) of a relaxed structure of CePm6NdSm2.

Values from the calculation:
Energy: -4.63 eV/atom
Space group: No. 12
Energy of formation: 236 meV/atom

a b c (Å): 6.7061 6.7061 9.0023
angles (deg): 102.63 102.63 62.18
Fractional positions:
Ce 0.0000 0.0000 0.0000
Pm 0.0860 0.5620 0.1987
Pm 0.1246 0.1246 0.4141
Pm 0.4380 0.9140 0.8013
Pm 0.5620 0.0860 0.1987
Pm 0.8754 0.8754 0.5859
Pm 0.9140 0.4380 0.8013
Nd 0.5000 0.5000 0.5000
Sm 0.4119 0.4119 0.8373
Sm 0.5881 0.5881 0.1627

# 2
The following is a DFT calculation (PBE-GGA) of a relaxed structure of CePm5Nd2Sm.

Values from the calculation:
Energy: -4.60 eV/atom
Space group: No. 127
Energy of formation: 278 meV/atom

a b c (Å): 8.3063 8.3063 9.0498
angles (deg): 90.00 90.00 90.00
Fractional positions:
Ce 0.0000 0.5000 0.0000
Ce 0.5000 0.0000 0.0000
Pm 0.0000 0.0000 0.5000
Pm 0.2016 0.2984 0.2256
Pm 0.2016 0.2984 0.7744
Pm 0.2984 0.7984 0.2256
Pm 0.2984 0.7984 0.7744
Pm 0.5000 0.5000 0.5000
Pm 0.7016 0.2016 0.2256
Pm 0.7016 0.2016 0.7744
Pm 0.7984 0.7016 0.2256
Pm 0.7984 0.7016 0.7744
Nd 0.1277 0.6277 0.5000
Nd 0.3723 0.1277 0.5000
Nd 0.6277 0.8723 0.5000
Nd 0.8723 0.3723 0.5000
Sm 0.0000 0.0000 0.0000
Sm 0.5000 0.5000 0.0000

Q: Which formula does entry 1 have?
A: CePm6NdSm2

Q: Which value of energy does entry 1 give?
A: -4.63 eV/atom